# TlSnHg

A relaxed TlSnHg crystal (PBE-GGA, Alexandria via LeMat-Bulk).

As for the total energy: -2.171 eV per atom. As for the volume: 84 Å³ per cell. The formation energy is 0.053 eV/atom. Its distance to the lowest polymorph of the same formula is 14 meV/atom.

Cell lengths 3.4310, 3.4310, 8.2610 Å; angles 90.00, 90.00, 120.00 degrees
With the nearest neighbours (Å) after each atom.
Space group P3m1 (No. 156)
Asymmetric unit:
1 Tl 0.0000 0.0000 0.0000 [1 per cell]  3 Hg 3.40, 6 Tl 3.43, 3 Sn 3.47
2 Sn 0.3333 0.6667 0.6552 [1 per cell]  3 Hg 3.31, 6 Sn 3.43, 3 Tl 3.47
3 Hg 0.6667 0.3333 0.3339 [1 per cell]  3 Sn 3.31, 3 Tl 3.40, 6 Hg 3.43